A plane-wave DFT calculation with PBE-GGA was carried out for crystalline Tb3Pm2Y3 at its relaxed geometry.

Properties
As for the raw total energy: -5.353 eV/atom. The excess energy over the best structure of this formula in the dataset is 0.000 eV/atom. The formation enthalpy at 0 K comes out at -0.005 eV/atom.

Cell lengths 23.9888, 3.6085, 6.2301 Å; angles 90.00, 105.05, 90.00 degrees
Last column: nearest neighbours and their distance in Å.
Space group C2/m (No. 12)
Symmetry-distinct sites (fractional):
Tb: 0.0000 0.0000 0.0000 [2 per cell]  8 Y 3.54-3.60, 4 Tb 3.56-3.61
Tb: 0.1243 0.0000 0.7882 [4 per cell]  6 Y 3.55-3.61, 3 Tb 3.56-3.61, 3 Pm 3.56-3.59
Pm: 0.2504 0.0000 0.2493 [4 per cell]  3 Tb 3.56-3.59, 3 Y 3.58-3.59, 6 Pm 3.59-3.61
Y: 0.0000 0.5000 0.5000 [2 per cell]  8 Tb 3.55-3.60, 4 Y 3.56-3.61
Y: 0.1242 0.5000 0.2870 [4 per cell]  6 Tb 3.54-3.61, 3 Y 3.56-3.61, 3 Pm 3.58-3.59

---

A plane-wave DFT calculation with PBE-GGA was carried out for crystalline Tb2PmY3 at its relaxed geometry.

Properties
As for the raw total energy: -5.501 eV/atom. The excess energy over the best structure of this formula in the dataset is 0.000 eV/atom. The formation enthalpy at 0 K comes out at 0.066 eV/atom.

Cell lengths 9.0061, 9.8372, 8.9841 Å; angles 90.00, 102.24, 90.00 degrees
Last column: nearest neighbours and their distance in Å.
Space group C2/c (No. 15)
Symmetry-distinct sites (fractional):
Tb: 0.1246 0.2484 0.1246 [8 per cell]  2 Tb 3.50, 9 Y 3.63-3.77, 3 Pm 3.66-3.83
Pm: 0.0000 0.4053 0.7500 [4 per cell]  5 Y 3.25-3.49
Y: 0.0000 0.0747 0.7500 [4 per cell]  1 Pm 3.25, 4 Y 3.29-3.51, 2 Tb 3.63
Y: 0.2421 0.4174 0.4936 [8 per cell]  2 Pm 3.25-3.49, 3 Y 3.29-3.51

---

A plane-wave DFT calculation with PBE-GGA was carried out for crystalline Tb5PmY at its relaxed geometry.

Properties
As for the raw total energy: -4.731 eV/atom. The excess energy over the best structure of this formula in the dataset is 0.000 eV/atom. The formation enthalpy at 0 K comes out at 0.179 eV/atom.

Cell lengths 11.7697, 6.7740, 12.2532 Å; angles 90.00, 110.40, 90.00 degrees
Last column: nearest neighbours and their distance in Å.
Space group C2/c (No. 15)
Symmetry-distinct sites (fractional):
Tb: 0.0000 0.0888 0.2500 [4 per cell]  1 Pm 2.98, 2 Tb 2.99
Tb: 0.0788 0.2346 0.0002 [8 per cell]  1 Pm 3.29, 4 Tb 3.30-3.68
Tb: 0.2190 0.1325 0.7472 [8 per cell]  2 Tb 2.99-3.30, 1 Y 3.27
Pm: 0.0000 0.4711 0.7500 [4 per cell]  3 Tb 2.98-3.29
Y: 0.2500 0.2500 0.5000 [4 per cell]  4 Tb 3.27-3.60

---

A plane-wave DFT calculation with PBE-GGA was carried out for crystalline Tb2Pm3Y8 at its relaxed geometry.

Properties
As for the raw total energy: -5.555 eV/atom. The excess energy over the best structure of this formula in the dataset is 0.000 eV/atom. The formation enthalpy at 0 K comes out at 0.232 eV/atom.

Cell lengths 14.8538, 9.2126, 6.9252 Å; angles 90.00, 108.63, 90.00 degrees
Last column: nearest neighbours and their distance in Å.
Space group C2/m (No. 12)
Symmetry-distinct sites (fractional):
Tb: 0.2109 0.0000 0.4243 [4 per cell]  7 Y 3.38-3.57, 3 Pm 3.55-3.70
Pm: 0.0000 0.0000 0.0000 [2 per cell]  6 Y 3.14-3.46
Pm: 0.0000 0.1737 0.5000 [4 per cell]  1 Pm 3.20, 4 Y 3.44-3.50
Y: 0.0870 0.5000 0.7263 [4 per cell]  6 Y 3.37-3.71, 2 Pm 3.44, 1 Tb 3.48
Y: 0.1185 0.3199 0.1814 [8 per cell]  5 Y 3.32-3.71, 2 Tb 3.45-3.49, 2 Pm 3.46-3.50
Y: 0.1910 0.0000 0.8974 [4 per cell]  1 Pm 3.14, 1 Tb 3.38, 3 Y 3.47-3.49

---

A plane-wave DFT calculation with PBE-GGA was carried out for crystalline TbPm12Y7 at its relaxed geometry.

Properties
As for the raw total energy: -5.113 eV/atom. The excess energy over the best structure of this formula in the dataset is 0.000 eV/atom. The formation enthalpy at 0 K comes out at 0.231 eV/atom.

Cell lengths 12.1442, 12.1442, 16.2616 Å; angles 90.00, 90.00, 120.00 degrees
Last column: nearest neighbours and their distance in Å.
Space group R-3 (No. 148, hexagonal axes)
Symmetry-distinct sites (fractional):
Tb: 0.0000 0.0000 0.0000 [3 per cell]  6 Y 3.29
Pm: 0.0243 0.4504 0.2231 [18 per cell]  5 Y 3.27-3.64, 2 Pm 3.57-3.61
Pm: 0.0588 0.1889 0.2894 [18 per cell]  7 Pm 3.47-3.86, 3 Y 3.58-3.76
Y: 0.0000 0.0000 0.5000 [3 per cell]  6 Pm 3.46
Y: 0.0571 0.5875 0.5830 [18 per cell]  5 Pm 3.27-3.64, 1 Y 3.28, 1 Tb 3.29

---

A plane-wave DFT calculation with PBE-GGA was carried out for crystalline Tb3Pm3YZn2 at its relaxed geometry.

Properties
As for the raw total energy: -4.137 eV/atom. The formation enthalpy at 0 K comes out at -0.008 eV/atom.

Cell lengths 9.1636, 9.1636, 3.6181 Å; angles 90.00, 90.00, 120.00 degrees
Last column: nearest neighbours and their distance in Å.
Space group P-62m (No. 189)
Symmetry-distinct sites (fractional):
Tb: 0.0000 0.3731 0.0000 [3 per cell]  6 Pm 3.38-3.67, 4 Zn 3.41, 1 Y 3.42, 2 Tb 3.62
Pm: 0.0000 0.6842 0.5000 [3 per cell]  2 Zn 3.14, 2 Tb 3.38, 2 Y 3.41
Y: 0.0000 0.0000 0.0000 [1 per cell]  6 Pm 3.41, 3 Tb 3.42, 2 Y 3.62
Zn: 0.3333 0.6667 0.5000 [2 per cell]  3 Pm 3.14, 6 Tb 3.41

---

A plane-wave DFT calculation with PBE-GGA was carried out for crystalline TbPmYZr at its relaxed geometry.

Properties
As for the raw total energy: -5.878 eV/atom. The formation enthalpy at 0 K comes out at 0.220 eV/atom.

Cell lengths 7.8309, 7.8309, 7.8309 Å; angles 90.00, 90.00, 90.00 degrees
Last column: nearest neighbours and their distance in Å.
Space group F-43m (No. 216)
Symmetry-distinct sites (fractional):
Tb: 0.0000 0.0000 0.0000 [4 per cell]  4 Zr 3.39, 4 Y 3.39
Pm: 0.0000 0.0000 0.5000 [4 per cell]  4 Zr 3.39, 4 Y 3.39
Y: 0.2500 0.2500 0.2500 [4 per cell]  4 Tb 3.39, 4 Pm 3.39
Zr: 0.2500 0.2500 0.7500 [4 per cell]  4 Tb 3.39, 4 Pm 3.39

---

A plane-wave DFT calculation with PBE-GGA was carried out for crystalline TbPmZn4 at its relaxed geometry.

Properties
As for the raw total energy: -2.746 eV/atom. The excess energy over the best structure of this formula in the dataset is 0.028 eV/atom. The formation enthalpy at 0 K comes out at -0.334 eV/atom.

Cell lengths 7.7966, 7.7966, 7.7966 Å; angles 90.00, 90.00, 90.00 degrees
Last column: nearest neighbours and their distance in Å.
Space group F-43m (No. 216)
Symmetry-distinct sites (fractional):
Tb: 0.0000 0.0000 0.0000 [4 per cell]  12 Zn 3.23, 4 Pm 3.38
Pm: 0.2500 0.2500 0.2500 [4 per cell]  12 Zn 3.23, 4 Tb 3.38
Zn: 0.1251 0.1251 0.6251 [16 per cell]  6 Zn 2.75-2.76

---

A plane-wave DFT calculation with PBE-GGA was carried out for crystalline Tb2Pm3Zn2 at its relaxed geometry.

Properties
As for the raw total energy: -3.854 eV/atom. The excess energy over the best structure of this formula in the dataset is 0.042 eV/atom. The formation enthalpy at 0 K comes out at -0.131 eV/atom.

Cell lengths 12.9334, 3.7504, 9.2470 Å; angles 90.00, 115.66, 90.00 degrees
Last column: nearest neighbours and their distance in Å.
Space group C2/m (No. 12)
Symmetry-distinct sites (fractional):
Tb: 0.1520 0.0000 0.3148 [4 per cell]  2 Zn 3.01
Pm: 0.0000 0.5000 0.5000 [2 per cell]  4 Zn 3.01
Pm: 0.1090 0.5000 0.9384 [4 per cell]  3 Zn 3.13, 1 Pm 3.47
Zn: 0.1795 0.0000 0.7244 [4 per cell]  5 Pm 3.01-3.13, 2 Tb 3.01

---

A plane-wave DFT calculation with PBE-GGA was carried out for crystalline Tb2Pm2Zn at its relaxed geometry.

Properties
As for the raw total energy: -3.572 eV/atom. The excess energy over the best structure of this formula in the dataset is 0.563 eV/atom. The formation enthalpy at 0 K comes out at 0.435 eV/atom.

Cell lengths 4.2364, 4.2364, 17.9920 Å; angles 90.00, 90.00, 90.00 degrees
Last column: nearest neighbours and their distance in Å.
Space group I4/mmm (No. 139)
Symmetry-distinct sites (fractional):
Tb: 0.0000 0.0000 0.0851 [4 per cell]  1 Tb 3.06, 4 Zn 3.36
Pm: 0.0000 0.5000 0.2500 [4 per cell]  4 Pm 3.00
Zn: 0.0000 0.0000 0.5000 [2 per cell]  8 Tb 3.36

---

A plane-wave DFT calculation with PBE-GGA was carried out for crystalline TbPmZn at its relaxed geometry.

Properties
As for the raw total energy: -3.601 eV/atom. The excess energy over the best structure of this formula in the dataset is 0.156 eV/atom. The formation enthalpy at 0 K comes out at -0.049 eV/atom.

Cell lengths 5.0157, 5.0157, 3.7351 Å; angles 90.00, 90.00, 120.00 degrees
Last column: nearest neighbours and their distance in Å.
Space group P3m1 (No. 156)
Symmetry-distinct sites (fractional):
Tb: 0.0000 0.0000 0.0000 [1 per cell]  3 Zn 3.03, 3 Pm 3.35
Pm: 0.3333 0.6667 0.4496 [1 per cell]  3 Zn 3.12, 3 Tb 3.35
Zn: 0.6667 0.3333 0.7594 [1 per cell]  3 Tb 3.03, 3 Pm 3.12

---

A plane-wave DFT calculation with PBE-GGA was carried out for crystalline Tb2Pm2Zn at its relaxed geometry.

Properties
As for the raw total energy: -4.135 eV/atom. The excess energy over the best structure of this formula in the dataset is 0.000 eV/atom. The formation enthalpy at 0 K comes out at -0.128 eV/atom.

Cell lengths 3.6049, 3.6049, 22.6273 Å; angles 90.00, 90.00, 90.00 degrees
Last column: nearest neighbours and their distance in Å.
Space group I4/mmm (No. 139)
Symmetry-distinct sites (fractional):
Tb: 0.0000 0.0000 0.0777 [4 per cell]  4 Zn 3.10
Pm: 0.0000 0.0000 0.3074 [4 per cell]  8 Pm 3.60-3.64, 4 Tb 3.64
Zn: 0.0000 0.0000 0.5000 [2 per cell]  8 Tb 3.10

---

Sequential D(E_F) output: 1.18 1.72 1.14 1.31 2.00 1.61 1.68 0.26 1.22 1.50 1.21 1.14 states/eV/atom